1.
Density functional theory data (PBE) for a relaxed structure of BeTcNi.

Values from the calculation:
- size of the total moment (μB/f.u.) = 0.3
- polymorph energy (0 for the lowest one) (meV per atom) = 118

Structure (POSCAR):
```
BeTcNi
1.0
3.947 0.000 0.000
-1.974 3.419 0.000
0.000 0.000 2.509
Ni Tc Be
1 1 1
Direct
0.667 0.333 0.167
0.333 0.667 0.667
0.000 0.000 0.167
```

2.
Density functional theory data (PBE) for a relaxed structure of BeTc2Ni.

Values from the calculation:
- size of the total moment (μB/f.u.) = 0.0

Structure (POSCAR):
```
BeTc2Ni
1.0
-1.026 3.774 -2.449
-3.034 2.783 2.084
3.963 -2.024 1.223
Ni Tc Be
1 2 1
Direct
0.250 0.750 0.500
0.999 0.999 0.000
0.501 0.501 0.000
0.750 0.250 0.500
```

3.
Density functional theory data (PBE) for a relaxed structure of BeTcNi2.

Values from the calculation:
- size of the total moment (μB/f.u.) = 0.0

Structure (POSCAR):
```
BeTcNi2
1.0
3.776 0.000 0.000
0.000 2.512 0.027
0.000 1.417 4.714
Ni Tc Be
2 1 1
Direct
0.000 0.927 0.985
0.000 0.573 0.515
0.500 0.250 0.250
0.500 0.750 0.750
```

4.
Density functional theory data (PBE) for a relaxed structure of Be2TcNi.

Values from the calculation:
- size of the total moment (μB/f.u.) = 0.0
- polymorph energy (0 for the lowest one) (meV per atom) = 261

Structure (POSCAR):
```
Be2TcNi
1.0
7.672 0.009 0.005
7.229 2.569 0.005
7.229 1.251 2.244
Ni Tc Be
1 1 2
Direct
0.250 0.250 0.250
0.750 0.750 0.750
0.994 0.994 0.994
0.506 0.506 0.506
```

5.
Density functional theory data (PBE) for a relaxed structure of BeTcNi2.

Values from the calculation:
- size of the total moment (μB/f.u.) = 0.0

Structure (POSCAR):
```
BeTcNi2
1.0
-1.986 -0.790 2.600
2.676 -1.131 1.700
1.514 6.607 5.341
Ni Tc Be
4 2 2
Direct
0.610 0.125 0.250
0.140 0.625 0.250
0.375 0.390 0.750
0.875 0.860 0.750
0.000 0.000 0.000
0.750 0.250 0.500
0.500 0.500 0.000
0.250 0.750 0.500
```

6.
Density functional theory data (PBE) for a relaxed structure of BeTc3Ni.

Values from the calculation:
- size of the total moment (μB/f.u.) = 0.0
- polymorph energy (0 for the lowest one) (meV per atom) = 0

Structure (POSCAR):
```
BeTc3Ni
1.0
4.074 0.000 0.000
0.000 4.074 0.000
0.000 0.000 4.074
Ni Tc Be
1 3 1
Direct
0.500 0.500 0.500
0.000 0.500 0.000
0.000 0.000 0.500
0.500 0.000 0.000
0.000 0.000 0.000
```

7.
Density functional theory data (PBE) for a relaxed structure of BeTcNi3.

Values from the calculation:
- size of the total moment (μB/f.u.) = 0.0
- polymorph energy (0 for the lowest one) (meV per atom) = 1136

Structure (POSCAR):
```
BeTcNi3
1.0
-0.776 0.483 4.333
4.321 -0.500 0.829
0.580 4.373 -0.384
Ni Tc Be
3 1 1
Direct
0.000 0.500 0.000
0.000 0.000 0.500
0.500 0.000 0.000
0.000 0.000 0.000
0.500 0.500 0.500
```

8.
Density functional theory data (PBE) for a relaxed structure of Be3TcNi.

Values from the calculation:
- size of the total moment (μB/f.u.) = 0.5
- polymorph energy (0 for the lowest one) (meV per atom) = 670

Structure (POSCAR):
```
Be3TcNi
1.0
-2.863 -2.557 1.403
1.777 -3.089 -2.001
2.312 -0.791 3.276
Ni Tc Be
1 1 3
Direct
0.500 0.500 0.500
0.000 0.000 0.000
0.000 0.500 0.000
0.000 0.000 0.500
0.500 0.000 0.000
```

9.
Density functional theory data (PBE) for a relaxed structure of BeTcNi2.

Values from the calculation:
- size of the total moment (μB/f.u.) = 0.0

Structure (POSCAR):
```
BeTcNi2
1.0
4.817 0.005 -0.002
2.337 4.212 0.002
-3.041 -3.018 2.201
Ni Tc Be
2 1 1
Direct
0.032 0.032 0.000
0.754 0.254 0.500
0.477 0.477 0.000
0.237 0.737 0.500
```

10.
Density functional theory data (PBE) for a relaxed structure of BeTc2Ni.

Values from the calculation:
- size of the total moment (μB/f.u.) = 0.7

Structure (POSCAR):
```
BeTc2Ni
1.0
4.136 0.000 0.000
2.068 3.582 0.000
2.068 1.194 3.377
Ni Tc Be
1 2 1
Direct
0.250 0.250 0.250
0.000 0.000 0.000
0.750 0.750 0.750
0.500 0.500 0.500
```

11.
Density functional theory data (PBE) for a relaxed structure of Be2TcNi.

Values from the calculation:
- size of the total moment (μB/f.u.) = 0.1
- polymorph energy (0 for the lowest one) (meV per atom) = 447

Structure (POSCAR):
```
Be2TcNi
1.0
-5.571 -0.672 -1.856
-0.077 -5.479 2.215
-3.655 -2.186 2.350
Ni Tc Be
2 2 4
Direct
0.500 0.500 0.000
0.250 0.750 0.500
0.000 0.000 0.000
0.750 0.250 0.500
0.602 0.125 0.250
0.148 0.625 0.250
0.375 0.398 0.750
0.875 0.852 0.750
```

12.
Density functional theory data (PBE) for a relaxed structure of BeTc3Ni.

Values from the calculation:
- size of the total moment (μB/f.u.) = 0.0
- polymorph energy (0 for the lowest one) (meV per atom) = 971

Structure (POSCAR):
```
BeTc3Ni
1.0
4.385 0.000 0.000
0.000 4.385 0.000
0.000 0.000 4.385
Ni Tc Be
1 3 1
Direct
0.000 0.000 0.000
0.000 0.500 0.000
0.000 0.000 0.500
0.500 0.000 0.000
0.500 0.500 0.500
```

Energy relative to the elements readings, ordered: -0.11, 0.03, -0.34, 0.05, 1.05, 3.65, 8.02, 5.66, -0.14, 0.23, 0.79, 8.50 eV per formula unit